## RbZnCuCl4 (PBE)

Data for crystalline RbZnCuCl4 at its relaxed geometry.

Its density of states at the Fermi level is 0.0 states/eV per cell. The calculation puts the size of the total moment at 0.07 μB per formula unit. The total DFT energy (no corrections) is -3.119 eV per atom. Its uncorrected formation energy is -1.16 eV per atom.

The structure belongs to space group P2_1/m (No. 11); the cell edges are 6.005, 7.630 and 9.111 Å and the angles 90.00°, 104.31° and 90.00°. The distinct sites, in fractional coordinates, are Rb at (0.235, 0.250, 0.397), Zn at (0.313, 0.750, 0.198), Cu at (0.237, 0.250, 0.862), Cl at (0.008, 0.750, 0.993), Cl at (0.183, 0.750, 0.415) and Cl at (0.429, 0.019, 0.779).